{
  "formula": "Y2ScHg",
  "functional": "GGA-PBE",
  "state": "relaxed",
  "dos_at_fermi_per_ev_fu": 5.8,
  "spacegroup": "R-3m",
  "e_tot_ev_per_atom": -5.017,
  "ef_ev_per_atom": -0.13,
  "magmom_total_mub_per_cell": 0.00,
  "lattice_angstrom": [[1.787, 1.032, 10.258], [-1.787, 1.032, 10.258], [0.000, -2.064, 10.258]],
  "species": ["Y", "Y", "Sc", "Hg"],
  "frac_coords": [[0.246, 0.246, 0.246], [0.754, 0.754, 0.754], [0.000, 0.000, 0.000], [0.500, 0.500, 0.500]]
}